Entry 1:
Crystalline TaTi2TcGe at its relaxed geometry. Source: Alexandria via LeMat-Bulk, functional GGA-PBE.

energy of formation: 115.73 kJ/mol of atoms
space-group type: No. 123
DOS(E_F): 5.41 states/eV/cell

Lattice parameters (Å, degrees): 4.8384 4.6511 4.8384 90.00 90.00 90.00
Closest atoms and distances in Å follow each position.
Atoms (fractional coordinates):
Ti (0.5000, 0.0000, 0.0000)  2 Ta 2.42
Ta (0.0000, 0.0000, 0.0000)  2 Tc 2.33, 4 Ti 2.42
Tc (0.0000, 0.5000, 0.0000)  2 Ta 2.33
Ti (0.0000, 0.0000, 0.5000)  2 Ta 2.42
Ge (0.5000, 0.5000, 0.5000)  8 Ti 3.36, 4 Tc 3.42

Entry 2:
Crystalline TaVTcGe at its relaxed geometry. Source: Alexandria via LeMat-Bulk, functional GGA-PBE.

energy of formation: -19.82 kJ/mol of atoms
space-group type: No. 216
DOS(E_F): 2.61 states/eV/cell

Lattice parameters (Å, degrees): 4.4156 4.4156 4.4156 60.00 60.00 60.00
Closest atoms and distances in Å follow each position.
Atoms (fractional coordinates):
Tc (0.5000, 0.5000, 0.5000)  4 Ge 2.70, 4 Ta 2.70
V (0.0000, 0.0000, 0.0000)  4 Ta 2.70, 4 Ge 2.70
Ta (0.7500, 0.7500, 0.7500)  4 V 2.70, 4 Tc 2.70
Ge (0.2500, 0.2500, 0.2500)  4 V 2.70, 4 Tc 2.70